Below is a relaxed LiMn7O3F9 crystal, with properties calculated at the PBE+U level.

Cell: 6.354 6.413 6.441 Å, 89.90 89.62 89.86°
Atoms (fractional coordinates):
Li 0.000 0.000 0.000
Mn 0.058 0.275 0.437
Mn 0.231 0.544 0.904
Mn 0.448 0.936 0.243
Mn 0.477 0.538 0.519
Mn 0.551 0.074 0.734
Mn 0.727 0.434 0.037
Mn 0.923 0.770 0.548
O 0.149 0.550 0.587
O 0.517 0.387 0.806
O 0.605 0.840 0.518
F 0.056 0.315 0.080
F 0.088 0.950 0.307
F 0.308 0.917 0.925
F 0.392 0.214 0.415
F 0.434 0.605 0.174
F 0.692 0.076 0.062
F 0.777 0.444 0.366
F 0.913 0.698 0.936
F 0.932 0.088 0.690

Values from the calculation:
* total magnetization: 35.00 μB/cell
* crystal system: triclinic
* raw total energy: -132.80 eV for the cell shown